# Ti3Cr2CuP6O24

A relaxed structure of Ti3Cr2CuP6O24 (PBE with a Hubbard U, Alexandria via LeMat-Bulk).

## Properties
- D(E_F) (states/eV/cell) = 55.82
- final energy (eV/atom) = -7.642

```
data_Ti3Cr2CuP6O24
_symmetry_space_group_name_H-M 'R 3'
_symmetry_Int_Tables_number 146
_symmetry_space_group_name_Hall 'R 3'
_cell_length_a 8.6601
_cell_length_b 8.6601
_cell_length_c 20.8271
_cell_angle_alpha 90.00
_cell_angle_beta 90.00
_cell_angle_gamma 120.00
loop_
_atom_site_label
_atom_site_type_symbol
_atom_site_fract_x
_atom_site_fract_y
_atom_site_fract_z
_atom_site_occupancy
Ti1 Ti 0.0000 0.0000 0.0000 1
Ti2 Ti 0.0000 0.0000 0.2093 1
Ti3 Ti 0.0000 0.0000 0.7071 1
Cr1 Cr 0.0000 0.0000 0.3574 1
Cr2 Cr 0.0000 0.0000 0.8556 1
Cu1 Cu 0.0000 0.0000 0.5029 1
P1 P 0.0371 0.6699 0.2692 1
P2 P 0.0405 0.3713 0.7697 1
O1 O 0.0006 0.1909 0.1645 1
O2 O 0.0011 0.8257 0.9355 1
O3 O 0.0024 0.8135 0.6621 1
O4 O 0.0147 0.1807 0.7773 1
O5 O 0.0227 0.8425 0.2803 1
O6 O 0.1214 0.6681 0.2069 1
O7 O 0.1661 0.4666 0.7125 1
O8 O 0.1679 0.4691 0.0903 1
```